Record 1
Sc2CdW: optimized geometry, PBE.

Lattice parameters (Å, degrees): 4.5152 4.5152 3.8964 90.00 90.00 90.00
Last column: nearest neighbours and their distance in Å.
Sites, in units of the cell vectors:
Sc (0.0000, 0.5000, 0.0000)  4 Cd 2.98, 4 W 2.98, 4 Sc 3.19
Sc (0.5000, 0.0000, 0.0000)  4 Cd 2.98, 4 W 2.98, 4 Sc 3.19
Cd (0.0000, 0.0000, 0.5000)  8 Sc 2.98, 4 W 3.19
W (0.5000, 0.5000, 0.5000)  8 Sc 2.98, 4 Cd 3.19

Calculated values
calculated formation energy	0.2025	eV per atom
calculated volume	79.4	Å³ per cell
total energy	-6.430	eV/atom

=====

Record 2
In2IBr: optimized geometry, PBE.

Lattice parameters (Å, degrees): 7.6211 7.6211 7.6211 109.85 109.85 108.73
Last column: nearest neighbours and their distance in Å.
Sites, in units of the cell vectors:
In (0.1056, 0.6250, 0.9806)  2 Br 3.18, 2 I 3.41
In (0.3750, 0.3556, 0.4806)  2 Br 3.18, 2 I 3.41
In (0.6444, 0.1250, 0.0194)  2 Br 3.18, 2 I 3.41
In (0.8750, 0.8944, 0.5194)  2 Br 3.18, 2 I 3.41
I (0.2500, 0.7500, 0.5000)  4 In 3.41
I (0.5000, 0.5000, 0.0000)  4 In 3.41
Br (0.0000, 0.0000, 0.0000)  4 In 3.18
Br (0.7500, 0.2500, 0.5000)  4 In 3.18

Calculated values
energy relative to the elements, uncorrected	-0.473	eV per atom
distance to the lowest polymorph of the same formula	0.0748	eV/atom
calculated volume	340.7	Å³ per cell
total energy	-2.648	eV/atom

=====

Record 3
CsTlCuI4: optimized geometry, PBE.

Lattice parameters (Å, degrees): 8.6146 7.0497 10.7578 90.00 106.00 90.00
Last column: nearest neighbours and their distance in Å.
Sites, in units of the cell vectors:
Cs (0.2192, 0.2500, 0.4361)  7 I 3.77-4.06
Cs (0.7808, 0.7500, 0.5639)  7 I 3.77-4.06
Tl (0.2174, 0.2500, 0.9454)  4 I 3.42-3.63
Tl (0.7826, 0.7500, 0.0546)  4 I 3.42-3.63
Cu (0.2733, 0.7500, 0.1868)  4 I 2.59-2.65
Cu (0.7267, 0.2500, 0.8132)  4 I 2.59-2.65
I (0.0805, 0.7500, 0.3410)  1 Cu 2.65
I (0.1151, 0.7500, 0.9397)  1 Cu 2.63
I (0.4969, 0.0064, 0.2436)  1 Cu 2.59
I (0.4969, 0.4936, 0.2436)  1 Cu 2.59
I (0.5031, 0.5064, 0.7564)  1 Cu 2.59
I (0.5031, 0.9936, 0.7564)  1 Cu 2.59
I (0.8849, 0.2500, 0.0603)  1 Cu 2.63
I (0.9195, 0.2500, 0.6590)  1 Cu 2.65

Calculated values
energy relative to the elements, uncorrected	-0.680	eV per atom
calculated volume	628.0	Å³ per cell
total energy	-2.611	eV/atom

=====

The records above give, respectively, theoretical density values of 8.07; 4.25; 4.80 g cm⁻³.